No. 1
# H2PtO4

A relaxed H2PtO4 crystal (GGA-PBE, Alexandria).

Calculated values
size of the total moment	2.04	μB/f.u.
D(E_F)	4.25	states/eV/cell
uncorrected energy	-4.6102	eV/atom

Cell: 5.322 5.322 5.322 Å, 136.00 136.00 63.98°
Sites, in units of the cell vectors:
H 0.182 0.182 0.000
H 0.818 0.818 0.000
Pt 0.500 0.500 0.000
O 0.000 0.500 0.500
O 0.290 0.290 0.000
O 0.500 0.000 0.500
O 0.710 0.710 0.000

No. 2
# HPtO2

A relaxed HPtO2 crystal (GGA-PBE, Alexandria).

Calculated values
size of the total moment	0.00	μB/f.u.
D(E_F)	8.21	states/eV/cell
uncorrected energy	-5.3405	eV/atom

Cell: 4.705 3.146 11.673 Å, 90.00 90.00 90.00°
Sites, in units of the cell vectors:
H 0.097 0.250 0.236
H 0.403 0.750 0.736
H 0.597 0.250 0.264
H 0.903 0.750 0.764
Pt 0.244 0.250 0.574
Pt 0.256 0.750 0.074
Pt 0.744 0.250 0.926
Pt 0.756 0.750 0.426
O 0.222 0.750 0.690
O 0.242 0.250 0.960
O 0.258 0.750 0.460
O 0.278 0.250 0.190
O 0.722 0.750 0.810
O 0.742 0.250 0.540
O 0.758 0.750 0.040
O 0.778 0.250 0.310